Record 1
Material: VCo2N3
Method: DFT, PBE
State: optimized geometry

* raw total energy: -49.427 eV per formula unit
* spin magnetization: 0.00 μB/atom

abc: 9.0689 5.2342 5.0782
angles: 90.00 90.00 90.00
Closest atoms and distances in Å follow each position.
Space group Cmc2_1 (No. 36)
Asymmetric unit:
V: 0.0000 0.1772 0.0000  4 N 1.88-1.89
Co: 0.1575 0.3278 0.5367  4 N 1.87
N: 0.0000 0.1613 0.3703  2 Co 1.87, 2 V 1.88-1.89
N: 0.1766 0.3411 0.9028  3 Co 1.87, 1 V 1.88

=====

Record 2
Material: La3Pr8Tm2
Method: DFT, PBE
State: optimized geometry

* raw total energy: -59.264 eV per formula unit
* spin magnetization: 0.00 μB/atom
* ΔE_f: 0.2075 eV per atom
* polymorph energy (0 for the lowest one): 70 meV per atom

abc: 20.7312 7.8065 5.8741
angles: 90.00 90.08 90.00
Closest atoms and distances in Å follow each position.
Space group C2/m (No. 12)
Asymmetric unit:
La: 0.0000 0.0000 0.0000  4 Pr 3.22
La: 0.0000 0.2910 0.5000  1 La 3.26, 2 Pr 3.61
Pr: 0.1096 0.2915 0.0004  1 La 3.22, 1 Pr 3.26, 2 Tm 3.50-3.55
Pr: 0.1355 0.0000 0.4985  2 La 3.61, 2 Tm 3.65-3.67, 7 Pr 3.75-4.00
Pr: 0.1778 0.5000 0.5023  2 Tm 3.38-3.39, 4 Pr 3.64-3.65
Tm: 0.2409 0.0000 0.9971  8 Pr 3.38-3.67